Below is a relaxed structure of Zn2CdNi, with properties calculated at the PBE level.

The structure in POSCAR format:
```
Zn2CdNi
1.0
3.819 0.000 0.000
0.000 3.819 0.000
1.909 1.909 9.175
Ni Cd Zn
2 2 4
Direct
0.250 0.750 0.500
0.500 0.500 0.000
0.750 0.250 0.500
0.000 0.000 0.000
0.375 0.409 0.750
0.159 0.625 0.250
0.875 0.841 0.750
0.591 0.125 0.250
```

Values from the calculation:
Calculated density: 7.49 Mg/m³
Total magnetization: 0.0 Bohr magnetons per cell
Formation enthalpy at 0 K: 18.3 kJ per mole of atoms

***

Below is a relaxed structure of Zn2CdNi, with properties calculated at the PBE level.

The structure in POSCAR format:
```
Zn2CdNi
1.0
-2.216 1.326 3.239
-3.530 -1.914 1.018
0.365 -2.968 4.113
Ni Zn Cd
1 2 1
Direct
0.688 0.688 0.936
0.040 0.040 0.879
0.280 0.280 0.160
0.491 0.491 0.526
```

Values from the calculation:
Calculated density: 7.52 Mg/m³
Total magnetization: 0.0 Bohr magnetons per cell
Formation enthalpy at 0 K: 1.6 kJ per mole of atoms

***

Below is a relaxed structure of ZnCdNi, with properties calculated at the PBE level.

The structure in POSCAR format:
```
ZnCdNi
1.0
-1.031 -1.317 -2.349
1.339 -1.532 2.041
-11.390 -1.886 6.058
Zn Cd Ni
2 2 2
Direct
0.279 0.557 0.500
0.609 0.219 0.000
0.277 0.555 0.190
0.277 0.555 0.810
0.612 0.224 0.643
0.612 0.224 0.357
```

Values from the calculation:
Energy above the lowest structure with this stoichiometry: 115 meV per atom
Calculated density: 8.37 Mg/m³
Total magnetization: 0.0 Bohr magnetons per cell
Formation enthalpy at 0 K: 7.3 kJ per mole of atoms

***

Below is a relaxed structure of Zn2CdNi, with properties calculated at the PBE level.

The structure in POSCAR format:
```
Zn2CdNi
1.0
-1.132 0.410 4.097
1.833 -1.995 0.706
4.245 2.847 0.888
Zn Ni Cd
2 1 1
Direct
0.000 0.942 0.968
0.000 0.558 0.532
0.500 0.750 0.750
0.500 0.250 0.250
```

Values from the calculation:
Calculated density: 8.23 Mg/m³
Total magnetization: 0.0 Bohr magnetons per cell
Formation enthalpy at 0 K: 1.3 kJ per mole of atoms

***

Below is a relaxed structure of Zn4CdNi, with properties calculated at the PBE level.

The structure in POSCAR format:
```
Zn4CdNi
1.0
0.000 3.557 3.557
3.557 0.000 3.557
3.557 3.557 0.000
Cd Ni Zn
1 1 4
Direct
0.750 0.750 0.750
0.000 0.000 0.000
0.374 0.374 0.374
0.374 0.374 0.877
0.374 0.877 0.374
0.877 0.374 0.374
```

Values from the calculation:
Calculated density: 7.99 Mg/m³
Total magnetization: 0.0 Bohr magnetons per cell
Formation enthalpy at 0 K: 4.6 kJ per mole of atoms

***

Below is a relaxed structure of ZnCdNi2, with properties calculated at the PBE level.

The structure in POSCAR format:
```
ZnCdNi2
1.0
6.788 0.000 0.000
0.000 6.788 0.000
3.394 3.394 2.618
Cd Ni Zn
2 4 2
Direct
0.000 0.000 0.000
0.750 0.250 0.500
0.875 0.849 0.750
0.151 0.625 0.250
0.599 0.125 0.250
0.375 0.401 0.750
0.500 0.500 0.000
0.250 0.750 0.500
```

Values from the calculation:
Calculated density: 8.13 Mg/m³
Total magnetization: 0.0 Bohr magnetons per cell
Formation enthalpy at 0 K: 26.6 kJ per mole of atoms

***

Below is a relaxed structure of Zn2CdNi, with properties calculated at the PBE level.

The structure in POSCAR format:
```
Zn2CdNi
1.0
9.320 0.032 0.019
8.881 2.825 0.019
8.881 1.394 2.458
Zn Cd Ni
2 1 1
Direct
0.485 0.485 0.485
0.015 0.015 0.015
0.250 0.250 0.250
0.750 0.750 0.750
```

Values from the calculation:
Calculated density: 7.89 Mg/m³
Total magnetization: 0.0 Bohr magnetons per cell
Formation enthalpy at 0 K: 1.9 kJ per mole of atoms

***

Below is a relaxed structure of Zn2CdNi, with properties calculated at the PBE level.

The structure in POSCAR format:
```
Zn2CdNi
1.0
3.070 0.000 0.000
0.000 3.071 0.000
0.000 0.000 6.427
Ni Zn Cd
1 2 1
Direct
0.500 0.500 0.750
0.000 0.000 0.547
0.000 0.000 0.953
0.500 0.500 0.250
```

Values from the calculation:
Calculated density: 8.28 Mg/m³
Total magnetization: 0.0 Bohr magnetons per cell
Formation enthalpy at 0 K: -6.6 kJ per mole of atoms